Compound: Ni2AsO
Source: the Alexandria database
Functional: PBE with a Hubbard U
Structure: optimized geometry

Results
* total magnetization: 0.750 μB/atom
* ΔE to the lowest computed polymorph: 0 meV per atom
* Fermi-level density of states: 0.10 states/eV/f.u.
* total energy: -14.939 eV/f.u.
* calculated density: 5.503 g/cm³

abc: 5.0959 5.0959 6.0346
angles: 65.02 65.02 90.00
Closest atoms and distances in Å follow each position.
Positions (direct):
Ni 0.5451 0.1250 0.2500  2 O 1.96
Ni 0.2049 0.6250 0.2500  2 O 1.96
Ni 0.3750 0.4549 0.7500  2 O 1.96
Ni 0.8750 0.7951 0.7500  2 O 1.96
As 0.0000 0.0000 0.0000  4 Ni 2.43
As 0.7500 0.2500 0.5000  4 Ni 2.43
O 0.5000 0.5000 0.0000  4 Ni 1.96
O 0.2500 0.7500 0.5000  4 Ni 1.96